Below is a relaxed structure of CrIn3F, with properties calculated at the PBE with a Hubbard U level.

## Properties
Calculated total energy = -15.70 eV per formula unit
Excess energy over the best structure of this formula in the dataset = 358 meV per atom
Magnetic moment = 1.42 Bohr magnetons per cell

Cell and atoms, written as POSCAR:
```
CrIn3F
1.0
4.771 0.000 0.000
0.000 4.771 0.000
0.000 0.000 4.771
Cr In F
1 3 1
Direct
0.000 0.000 0.000 Cr
0.000 0.500 0.500 In
0.500 0.000 0.500 In
0.500 0.500 0.000 In
0.500 0.500 0.500 F
```